Entry from Alexandria: crystalline TcAg2Ru at its relaxed geometry (PBE-GGA).

Output
Relative energy among the computed polymorphs   34.2 kJ per mole of atoms
VASP energy   -5.751 eV per atom
ΔE_f   2.34 eV per formula unit
ρ   10854 kg/m3
V   15.87 Å³ per atom

abc: 9.7669 9.7669 9.7669
angles: 16.23 16.23 16.23
Last column: magnetic moment on the atom in μB.
Sites, in units of the cell vectors:
Ag: 0.9997 0.9997 0.9997  0.03
Ag: 0.5003 0.5003 0.5003  0.03
Ru: 0.2500 0.2500 0.2500  0.53
Tc: 0.7500 0.7500 0.7500  0.50